Run P
TlNiTe3: relaxed, PBE-GGA.

Lattice parameters (Å, degrees): 5.173 5.173 5.173 90.00 90.00 90.00
Fractional coordinates of all 5 atoms:
Te 0.000 0.500 0.000
Te 0.000 0.000 0.500
Te 0.500 0.000 0.000
Ni 0.000 0.000 0.000
Tl 0.500 0.500 0.500

Results
The value obtained for the calculated density is 7.75 Mg/m³. As for the space group: No. 221.

---

Run Q
TlNiTe3: relaxed, PBE-GGA.

Lattice parameters (Å, degrees): 5.703 5.703 5.703 90.00 90.00 90.00
Each line ends with the local moment (μB).
Fractional coordinates of all 5 atoms:
Te 0.000 0.000 0.500  0.11
Te 0.500 0.000 0.000  0.08
Te 0.000 0.500 0.000  0.12
Ni 0.500 0.500 0.500  0.99
Tl 0.000 0.000 0.000  -0.01

Results
The value obtained for the calculated density is 5.78 Mg/m³. As for the space group: No. 221.

---

Short version: run P, run Q, most stable first.

---

Run P
Tl3NiTe: relaxed, PBE-GGA.

Lattice parameters (Å, degrees): 6.408 6.408 6.408 90.00 90.00 90.00
Each line ends with the local moment (μB).
Fractional coordinates of all 5 atoms:
Te 0.000 0.000 0.000  0.06
Tl 0.000 0.500 0.000  -0.01
Tl 0.500 0.000 0.000  0.01
Tl 0.000 0.000 0.500  -0.01
Ni 0.500 0.500 0.500  1.00

Results
The value obtained for the calculated density is 5.05 Mg/m³. As for the space group: No. 221.

---

Run Q
Tl3NiTe: relaxed, PBE-GGA.

Lattice parameters (Å, degrees): 5.204 5.204 5.204 90.00 90.00 90.00
Fractional coordinates of all 5 atoms:
Te 0.500 0.500 0.500
Tl 0.000 0.500 0.000
Tl 0.500 0.000 0.000
Tl 0.000 0.000 0.500
Ni 0.000 0.000 0.000

Results
The value obtained for the calculated density is 9.42 Mg/m³. As for the space group: No. 221.

---

Short version: run Q, run P, most stable first.

---

Run P
Tm4NiTe: relaxed, PBE-GGA.

Lattice parameters (Å, degrees): 5.184 10.582 9.303 123.06 90.00 104.18
Fractional coordinates of all 12 atoms:
Ni 0.885 0.770 0.327
Ni 0.115 0.230 0.673
Te 0.841 0.682 0.719
Te 0.159 0.318 0.281
Tm 0.752 0.504 0.315
Tm 0.248 0.496 0.685
Tm 0.200 0.399 0.000
Tm 0.975 0.951 0.654
Tm 0.800 0.601 0.000
Tm 0.398 0.796 0.313
Tm 0.025 0.049 0.346
Tm 0.602 0.204 0.687

Results
The value obtained for the calculated density is 7.00 Mg/m³. As for the space group: No. 12.

---

Run Q
Tm4NiTe: relaxed, PBE-GGA.

Lattice parameters (Å, degrees): 3.814 8.167 19.228 90.00 90.00 90.00
Fractional coordinates of all 24 atoms:
Ni 0.250 0.772 0.553
Ni 0.750 0.228 0.447
Ni 0.750 0.728 0.053
Ni 0.250 0.272 0.947
Tm 0.250 0.978 0.068
Tm 0.750 0.953 0.216
Tm 0.250 0.635 0.149
Tm 0.750 0.865 0.649
Tm 0.750 0.854 0.453
Tm 0.750 0.365 0.851
Tm 0.250 0.646 0.953
Tm 0.250 0.135 0.351
Tm 0.250 0.047 0.784
Tm 0.750 0.354 0.047
Tm 0.750 0.522 0.568
Tm 0.250 0.547 0.716
Tm 0.250 0.146 0.547
Tm 0.750 0.022 0.932
Tm 0.750 0.453 0.284
Tm 0.250 0.478 0.432
Te 0.750 0.746 0.815
Te 0.250 0.754 0.315
Te 0.250 0.254 0.185
Te 0.750 0.246 0.685

Results
The value obtained for the calculated density is 9.56 Mg/m³. As for the space group: No. 62.

---

Short version: run Q, run P, most stable first.

---

Run P
Tm6Ni2Te: relaxed, PBE-GGA.

Lattice parameters (Å, degrees): 8.352 8.352 8.352 105.28 109.41 113.84
Fractional coordinates of all 18 atoms:
Tm 0.312 0.987 0.674
Tm 0.523 0.704 0.820
Tm 0.791 0.773 0.565
Tm 0.688 0.013 0.326
Tm 0.116 0.296 0.820
Tm 0.312 0.638 0.326
Tm 0.209 0.773 0.982
Tm 0.791 0.227 0.018
Tm 0.209 0.227 0.435
Tm 0.688 0.362 0.674
Tm 0.884 0.704 0.180
Tm 0.477 0.296 0.180
Ni 0.500 0.625 0.125
Ni 0.500 0.375 0.875
Ni 0.357 0.000 0.357
Ni 0.643 0.000 0.643
Te 0.000 0.000 0.000
Te 0.000 0.500 0.500

Results
The value obtained for the calculated density is 9.37 Mg/m³. As for the space group: No. 71.

---

Run Q
Tm6Ni2Te: relaxed, PBE-GGA.

Lattice parameters (Å, degrees): 6.228 9.168 9.168 67.20 75.15 75.15
Fractional coordinates of all 18 atoms:
Tm 0.811 0.927 0.453
Tm 0.880 0.507 0.698
Tm 0.811 0.178 0.051
Tm 0.189 0.822 0.949
Tm 0.120 0.493 0.302
Tm 0.189 0.073 0.547
Tm 0.311 0.453 0.927
Tm 0.620 0.302 0.493
Tm 0.380 0.698 0.507
Tm 0.689 0.949 0.822
Tm 0.311 0.051 0.178
Tm 0.689 0.547 0.073
Ni 0.463 0.261 0.259
Ni 0.037 0.741 0.739
Ni 0.537 0.739 0.741
Ni 0.963 0.259 0.261
Te 0.750 0.805 0.195
Te 0.250 0.195 0.805

Results
The value obtained for the calculated density is 9.10 Mg/m³. As for the space group: No. 15.

---

Short version: run P, run Q, most stable first.

---

Run P
Tm5NiTe2: relaxed, PBE-GGA.

Lattice parameters (Å, degrees): 4.980 8.451 13.344 90.00 90.00 107.14
Fractional coordinates of all 16 atoms:
Te 0.087 0.173 0.884
Te 0.087 0.173 0.616
Te 0.913 0.827 0.116
Te 0.913 0.827 0.384
Ni 0.781 0.562 0.750
Ni 0.219 0.438 0.250
Tm 0.101 0.203 0.113
Tm 0.309 0.619 0.427
Tm 0.739 0.478 0.250
Tm 0.261 0.522 0.750
Tm 0.101 0.203 0.387
Tm 0.691 0.381 0.927
Tm 0.899 0.797 0.887
Tm 0.309 0.619 0.073
Tm 0.899 0.797 0.613
Tm 0.691 0.381 0.573

Results
The value obtained for the calculated density is 7.17 Mg/m³. As for the space group: No. 63.

---

Run Q
Tm5NiTe2: relaxed, PBE-GGA.

Lattice parameters (Å, degrees): 3.966 8.079 13.033 90.00 90.00 90.00
Fractional coordinates of all 16 atoms:
Tm 0.000 0.664 0.680
Tm 0.500 0.167 0.084
Tm 0.000 0.000 0.500
Tm 0.000 0.336 0.320
Tm 0.000 0.836 0.180
Tm 0.000 0.500 0.000
Tm 0.500 0.333 0.584
Tm 0.000 0.164 0.820
Tm 0.500 0.667 0.416
Tm 0.500 0.833 0.916
Te 0.500 0.963 0.683
Te 0.500 0.537 0.183
Te 0.500 0.037 0.317
Te 0.500 0.463 0.817
Ni 0.000 0.500 0.500
Ni 0.000 0.000 0.000

Results
The value obtained for the calculated density is 9.21 Mg/m³. As for the space group: No. 55.

---

Short version: run Q, run P, most stable first.

---

Run P
UNiTe2: relaxed, PBE-GGA.

Lattice parameters (Å, degrees): 4.031 4.835 5.935 113.96 109.74 90.24
Each line ends with the local moment (μB).
Fractional coordinates of all 4 atoms:
Te 0.860 0.837 0.657  -0.06
Te 0.203 0.180 0.343  -0.06
U 0.353 0.509 0.000  2.45
Ni 0.583 0.011 0.000  -0.14

Results
The value obtained for the calculated density is 9.34 Mg/m³. As for the space group: No. 8.

---

Run Q
UNiTe2: relaxed, PBE-GGA.

Lattice parameters (Å, degrees): 4.029 4.029 7.265 73.90 73.90 60.00
Each line ends with the local moment (μB).
Fractional coordinates of all 4 atoms:
Te 0.067 0.067 0.800  -0.11
Te 0.263 0.263 0.212  -0.12
U 0.499 0.499 0.502  2.44
Ni 0.671 0.671 0.986  -0.55

Results
The value obtained for the calculated density is 9.47 Mg/m³. As for the space group: No. 160.

---

Run R
UNiTe2: relaxed, PBE-GGA.

Lattice parameters (Å, degrees): 3.473 3.473 9.663 79.65 79.65 60.00
Each line ends with the local moment (μB).
Fractional coordinates of all 4 atoms:
Ni 0.500 0.500 0.500  -0.13
Te 0.890 0.890 0.330  -0.03
Te 0.110 0.110 0.670  -0.03
U 0.000 0.000 0.000  2.78

Results
The value obtained for the calculated density is 9.28 Mg/m³. As for the space group: No. 166.

---

Run S
UNiTe2: relaxed, PBE-GGA.

Lattice parameters (Å, degrees): 4.042 8.561 11.634 90.00 90.00 90.00
Each line ends with the local moment (μB).
Fractional coordinates of all 16 atoms:
Te 0.750 0.729 0.954  -0.06
Te 0.750 0.463 0.284  -0.08
Te 0.750 0.229 0.546  -0.06
Te 0.250 0.271 0.046  -0.06
Te 0.250 0.771 0.454  -0.06
Te 0.250 0.037 0.784  -0.08
Te 0.250 0.537 0.716  -0.08
Te 0.750 0.963 0.216  -0.08
Ni 0.250 0.538 0.937  -0.18
Ni 0.750 0.462 0.063  -0.18
Ni 0.750 0.962 0.437  -0.18
Ni 0.250 0.038 0.563  -0.18
U 0.250 0.183 0.334  2.29
U 0.250 0.683 0.166  2.29
U 0.750 0.317 0.834  2.29
U 0.750 0.817 0.666  2.29

Results
The value obtained for the calculated density is 9.11 Mg/m³. As for the space group: No. 62.

---

Short version: run S, run Q, run P, run R, most stable first.

---

Run P
V3NiTe: relaxed, PBE-GGA.

Lattice parameters (Å, degrees): 4.467 4.467 4.467 90.00 90.00 90.00
Each line ends with the local moment (μB).
Fractional coordinates of all 5 atoms:
V 0.000 0.000 0.500  1.29
V 0.000 0.500 0.000  1.29
V 0.500 0.000 0.000  1.29
Te 0.500 0.500 0.500  -0.05
Ni 0.000 0.000 0.000  -0.04

Results
The value obtained for the calculated density is 6.32 Mg/m³. As for the space group: No. 221.

---

Run Q
V3NiTe: relaxed, PBE-GGA.

Lattice parameters (Å, degrees): 4.804 4.804 4.804 90.00 90.00 90.00
Each line ends with the local moment (μB).
Fractional coordinates of all 5 atoms:
V 0.000 0.000 0.500  1.44
V 0.000 0.500 0.000  1.44
V 0.500 0.000 0.000  1.44
Te 0.000 0.000 0.000  -0.04
Ni 0.500 0.500 0.500  0.72

Results
The value obtained for the calculated density is 5.08 Mg/m³. As for the space group: No. 221.

---

Short version: run P, run Q, most stable first.

---

Run P
NiTe2W: relaxed, PBE-GGA.

Lattice parameters (Å, degrees): 3.378 3.394 7.044 111.80 90.00 90.00
Fractional coordinates of all 4 atoms:
Te 0.000 0.926 0.500
Te 0.000 0.574 0.000
Ni 0.500 0.750 0.750
W 0.500 0.250 0.250

Results
The value obtained for the calculated density is 11.02 Mg/m³. As for the space group: No. 10.

---

Run Q
NiTe2W: relaxed, PBE-GGA.

Lattice parameters (Å, degrees): 7.764 7.764 7.764 25.52 25.52 25.52
Fractional coordinates of all 4 atoms:
Te 0.496 0.496 0.496
Te 0.004 0.004 0.004
W 0.250 0.250 0.250
Ni 0.750 0.750 0.750

Results
The value obtained for the calculated density is 10.81 Mg/m³. As for the space group: No. 166.

---

Short version: run Q, run P, most stable first.

---

Run P
NiTe2W: relaxed, PBE-GGA.

Lattice parameters (Å, degrees): 3.359 3.359 7.840 90.00 90.00 90.00
Fractional coordinates of all 4 atoms:
Ni 0.500 0.500 0.730
Te 0.000 0.000 0.884
Te 0.500 0.500 0.348
W 0.000 0.000 0.539

Results
The value obtained for the calculated density is 9.34 Mg/m³. As for the space group: No. 99.

---

Run Q
NiTe2W: relaxed, PBE-GGA.

Lattice parameters (Å, degrees): 3.913 3.913 7.679 75.22 75.22 59.99
Fractional coordinates of all 4 atoms:
Te 0.782 0.782 0.653
Te 0.955 0.955 0.135
Ni 0.234 0.234 0.299
W 0.529 0.529 0.412

Results
The value obtained for the calculated density is 8.49 Mg/m³. As for the space group: No. 160.

---

Short version: run Q, run P, most stable first.

---

Run P
NiTe2W: relaxed, PBE-GGA.

Lattice parameters (Å, degrees): 3.215 3.215 8.326 90.00 90.00 114.21
Fractional coordinates of all 4 atoms:
W 0.500 0.500 0.250
Te 0.000 0.000 0.512
Te 0.000 0.000 0.988
Ni 0.500 0.500 0.750

Results
The value obtained for the calculated density is 10.53 Mg/m³. As for the space group: No. 65.

---

Run Q
NiTe2W: relaxed, PBE-GGA.

Lattice parameters (Å, degrees): 5.011 5.011 5.011 133.44 122.02 77.42
Fractional coordinates of all 4 atoms:
Te 0.461 0.461 0.000
Te 0.039 0.039 0.000
W 0.750 0.250 0.500
Ni 0.250 0.750 0.500

Results
The value obtained for the calculated density is 10.99 Mg/m³. As for the space group: No. 71.

---

Run R
NiTe2W: relaxed, PBE-GGA.

Lattice parameters (Å, degrees): 6.010 6.010 7.157 65.17 65.17 90.00
Each line ends with the local moment (μB).
Fractional coordinates of all 8 atoms:
W 0.000 0.000 0.000  0.86
W 0.750 0.250 0.500  0.85
Te 0.146 0.625 0.250  -0.03
Te 0.604 0.125 0.250  -0.03
Te 0.875 0.854 0.750  -0.03
Te 0.375 0.396 0.750  -0.03
Ni 0.250 0.750 0.500  -0.09
Ni 0.500 0.500 0.000  -0.10

Results
The value obtained for the calculated density is 7.95 Mg/m³. As for the space group: No. 122.

---

Run S
NiTe2W: relaxed, PBE-GGA.

Lattice parameters (Å, degrees): 3.365 3.365 6.550 90.00 90.00 90.00
Fractional coordinates of all 4 atoms:
Te 0.000 0.000 0.500
Te 0.000 0.000 0.000
W 0.500 0.500 0.250
Ni 0.500 0.500 0.750

Results
The value obtained for the calculated density is 11.14 Mg/m³. As for the space group: No. 123.

---

Short version: run S, run R, run Q, run P, most stable first.